*1*
VASP calculation (PBE-GGA) on crystalline Sr2TeP at its relaxed geometry.

Output
The total magnetization comes out at 0.000 μB per formula unit. The calculation puts the density of states at the Fermi level at 2.46 states/eV/f.u.

a = 6.8454 Å, b = 6.8454 Å, c = 6.8454 Å
α = 141.50°, β = 141.50°, γ = 55.58°
Fractional positions:
Sr 0.0000 0.0000 0.0000
Sr 0.2500 0.7500 0.5000
Te 0.5000 0.5000 0.0000
P 0.7500 0.2500 0.5000

*2*
VASP calculation (PBE-GGA) on crystalline Sr2TeP at its relaxed geometry.

Output
The total magnetization comes out at 0.000 μB per formula unit. The calculation puts the density of states at the Fermi level at 2.57 states/eV/f.u.

a = 5.4978 Å, b = 5.4978 Å, c = 3.9822 Å
α = 90.00°, β = 90.00°, γ = 95.37°
Fractional positions:
Sr 0.0000 0.5000 0.0000
Sr 0.5000 0.0000 0.0000
Te 0.5000 0.5000 0.5000
P 0.0000 0.0000 0.5000

Sorted by energy, starting with the most stable: *2*, *1*.

*1*
VASP calculation (PBE-GGA) on crystalline Sr2TeP at its relaxed geometry.

Output
The total magnetization comes out at 0.863 μB per formula unit. The calculation puts the density of states at the Fermi level at 2.88 states/eV/f.u.

a = 6.6560 Å, b = 6.6560 Å, c = 4.9027 Å
α = 89.85°, β = 89.85°, γ = 37.04°
Fractional positions:
Sr 0.9892 0.9892 0.8748
Sr 0.2462 0.2462 0.3752
Te 0.5153 0.5153 0.3745
P 0.7492 0.7492 0.8755

*2*
VASP calculation (PBE-GGA) on crystalline Sr2TeP at its relaxed geometry.

Output
The total magnetization comes out at 0.000 μB per formula unit. The calculation puts the density of states at the Fermi level at 5.54 states/eV/f.u.

a = 5.5412 Å, b = 5.5412 Å, c = 5.5412 Å
α = 60.00°, β = 60.00°, γ = 60.00°
Fractional positions:
Sr 0.2500 0.2500 0.2500
Sr 0.7500 0.7500 0.7500
Te 0.5000 0.5000 0.5000
P 0.0000 0.0000 0.0000

Sorted by energy, starting with the most stable: *1*, *2*.

*1*
VASP calculation (PBE-GGA) on crystalline Sr2TeP at its relaxed geometry.

Output
The total magnetization comes out at 0.000 μB per formula unit. The calculation puts the density of states at the Fermi level at 4.18 states/eV/f.u.

a = 5.4793 Å, b = 5.4793 Å, c = 5.4793 Å
α = 60.00°, β = 60.00°, γ = 60.00°
Fractional positions:
Sr 0.0000 0.0000 0.0000
Sr 0.7500 0.7500 0.7500
Te 0.2500 0.2500 0.2500
P 0.5000 0.5000 0.5000

*2*
VASP calculation (PBE-GGA) on crystalline Sr2TeP at its relaxed geometry.

Output
The total magnetization comes out at 0.684 μB per formula unit. The calculation puts the density of states at the Fermi level at 4.24 states/eV/f.u.

a = 4.5938 Å, b = 4.5938 Å, c = 6.5036 Å
α = 90.00°, β = 90.00°, γ = 90.00°
Fractional positions:
Sr 0.0000 0.0000 0.5000
Sr 0.5000 0.5000 0.0000
Te 0.0000 0.0000 0.0000
P 0.5000 0.5000 0.5000

Sorted by energy, starting with the most stable: *2*, *1*.

*1*
VASP calculation (PBE-GGA) on crystalline Sr2TeP at its relaxed geometry.

Output
The total magnetization comes out at 0.000 μB per formula unit. The calculation puts the density of states at the Fermi level at 1.96 states/eV/f.u.

a = 8.4003 Å, b = 8.4003 Å, c = 7.0592 Å
α = 53.49°, β = 53.49°, γ = 90.00°
Fractional positions:
Sr 0.5920 0.1250 0.2500
Sr 0.1580 0.6250 0.2500
Sr 0.3750 0.4080 0.7500
Sr 0.8750 0.8420 0.7500
Te 0.0000 0.0000 0.0000
Te 0.7500 0.2500 0.5000
P 0.5000 0.5000 0.0000
P 0.2500 0.7500 0.5000

*2*
VASP calculation (PBE-GGA) on crystalline Sr2TeP at its relaxed geometry.

Output
The total magnetization comes out at 0.552 μB per formula unit. The calculation puts the density of states at the Fermi level at 4.00 states/eV/f.u.

a = 8.1688 Å, b = 8.1688 Å, c = 8.1688 Å
α = 31.88°, β = 31.88°, γ = 31.88°
Fractional positions:
Sr 0.7567 0.7567 0.7567
Sr 0.2433 0.2433 0.2433
Te 0.0000 0.0000 0.0000
P 0.5000 0.5000 0.5000

Sorted by energy, starting with the most stable: *2*, *1*.

*1*
VASP calculation (PBE-GGA) on crystalline SrTe3P at its relaxed geometry.

Output
The total magnetization comes out at 0.000 μB per formula unit.

a = 7.7900 Å, b = 8.2297 Å, c = 10.5133 Å
α = 90.00°, β = 93.01°, γ = 90.00°
Fractional positions:
Sr 0.9719 0.6010 0.2447
Sr 0.5281 0.1010 0.2553
Sr 0.0281 0.3990 0.7553
Sr 0.4719 0.8990 0.7447
Te 0.1755 0.6909 0.5520
Te 0.3245 0.1909 0.9480
Te 0.8245 0.3091 0.4480
Te 0.6755 0.8091 0.0520
Te 0.8961 0.0080 0.7731
Te 0.6039 0.5080 0.7269
Te 0.1039 0.9920 0.2269
Te 0.3961 0.4920 0.2731
Te 0.6838 0.7790 0.4483
Te 0.8162 0.2790 0.0517
Te 0.3162 0.2210 0.5517
Te 0.1838 0.7210 0.9483
P 0.4480 0.6033 0.0588
P 0.0520 0.1033 0.4412
P 0.5520 0.3967 0.9412
P 0.9480 0.8967 0.5588

*2*
VASP calculation (PBE-GGA) on crystalline SrTe3P at its relaxed geometry.

Output
The total magnetization comes out at 0.000 μB per formula unit. The calculation puts the density of states at the Fermi level at 2.76 states/eV/f.u.

a = 5.3688 Å, b = 5.3688 Å, c = 5.3688 Å
α = 90.00°, β = 90.00°, γ = 90.00°
Fractional positions:
Sr 0.5000 0.5000 0.5000
Te 0.0000 0.5000 0.0000
Te 0.0000 0.0000 0.5000
Te 0.5000 0.0000 0.0000
P 0.0000 0.0000 0.0000

*3*
VASP calculation (PBE-GGA) on crystalline SrTe3P at its relaxed geometry.

Output
The total magnetization comes out at 1.013 μB per formula unit. The calculation puts the density of states at the Fermi level at 6.60 states/eV/f.u.

a = 6.3717 Å, b = 6.3717 Å, c = 6.3717 Å
α = 90.00°, β = 90.00°, γ = 90.00°
Fractional positions:
Sr 0.0000 0.0000 0.0000
Te 0.0000 0.5000 0.0000
Te 0.0000 0.0000 0.5000
Te 0.5000 0.0000 0.0000
P 0.5000 0.5000 0.5000

Sorted by energy, starting with the most stable: *1*, *2*, *3*.

*1*
VASP calculation (PBE-GGA) on crystalline SrTeP3 at its relaxed geometry.

Output
The total magnetization comes out at 0.000 μB per formula unit. The calculation puts the density of states at the Fermi level at 7.09 states/eV/f.u.

a = 5.1431 Å, b = 5.1431 Å, c = 5.1431 Å
α = 90.00°, β = 90.00°, γ = 90.00°
Fractional positions:
Sr 0.5000 0.5000 0.5000
Te 0.0000 0.0000 0.0000
P 0.0000 0.5000 0.0000
P 0.0000 0.0000 0.5000
P 0.5000 0.0000 0.0000

*2*
VASP calculation (PBE-GGA) on crystalline SrTeP3 at its relaxed geometry.

Output
The total magnetization comes out at 0.000 μB per formula unit. The calculation puts the density of states at the Fermi level at 5.81 states/eV/f.u.

a = 5.4400 Å, b = 5.4400 Å, c = 5.4400 Å
α = 90.00°, β = 90.00°, γ = 90.00°
Fractional positions:
Sr 0.0000 0.0000 0.0000
Te 0.5000 0.5000 0.5000
P 0.0000 0.5000 0.0000
P 0.0000 0.0000 0.5000
P 0.5000 0.0000 0.0000

Sorted by energy, starting with the most stable: *1*, *2*.

*1*
VASP calculation (PBE-GGA) on crystalline SrTi3P at its relaxed geometry.

Output
The total magnetization comes out at 0.000 μB per formula unit. The calculation puts the density of states at the Fermi level at 5.07 states/eV/f.u.

a = 4.7826 Å, b = 4.7826 Å, c = 4.7826 Å
α = 90.00°, β = 90.00°, γ = 90.00°
Fractional positions:
Sr 0.5000 0.5000 0.5000
P 0.0000 0.0000 0.0000
Ti 0.0000 0.5000 0.0000
Ti 0.0000 0.0000 0.5000
Ti 0.5000 0.0000 0.0000

*2*
VASP calculation (PBE-GGA) on crystalline SrTi3P at its relaxed geometry.

Output
The total magnetization comes out at 1.431 μB per formula unit. The calculation puts the density of states at the Fermi level at 8.84 states/eV/f.u.

a = 4.7258 Å, b = 4.7258 Å, c = 4.7258 Å
α = 90.00°, β = 90.00°, γ = 90.00°
Fractional positions:
Sr 0.0000 0.0000 0.0000
P 0.5000 0.5000 0.5000
Ti 0.0000 0.5000 0.0000
Ti 0.0000 0.0000 0.5000
Ti 0.5000 0.0000 0.0000

Sorted by energy, starting with the most stable: *1*, *2*.

*1*
VASP calculation (PBE-GGA) on crystalline SrTiPW2 at its relaxed geometry.

Output
The total magnetization comes out at 0.003 μB per formula unit. The calculation puts the density of states at the Fermi level at 8.75 states/eV/f.u.

a = 4.8502 Å, b = 4.9857 Å, c = 4.8502 Å
α = 90.00°, β = 90.00°, γ = 90.00°
Fractional positions:
Sr 0.0000 0.0000 0.0000
P 0.0000 0.5000 0.0000
W 0.0000 0.0000 0.5000
W 0.5000 0.0000 0.0000
Ti 0.5000 0.5000 0.5000

*2*
VASP calculation (PBE-GGA) on crystalline SrTiPW2 at its relaxed geometry.

Output
The total magnetization comes out at 0.001 μB per formula unit. The calculation puts the density of states at the Fermi level at 9.87 states/eV/f.u.

a = 4.5362 Å, b = 5.2967 Å, c = 4.5362 Å
α = 90.00°, β = 90.00°, γ = 90.00°
Fractional positions:
Sr 0.0000 0.5000 0.0000
P 0.0000 0.0000 0.0000
W 0.0000 0.0000 0.5000
W 0.5000 0.0000 0.0000
Ti 0.5000 0.5000 0.5000

Sorted by energy, starting with the most stable: *2*, *1*.

*1*
VASP calculation (PBE-GGA) on crystalline SrTlP2 at its relaxed geometry.

Output
The total magnetization comes out at 0.000 μB per formula unit. The calculation puts the density of states at the Fermi level at 2.99 states/eV/f.u.

a = 4.7750 Å, b = 4.7750 Å, c = 4.1187 Å
α = 89.60°, β = 89.60°, γ = 89.93°
Fractional positions:
P 0.0000 0.0000 0.0000
P 0.5000 0.5000 0.0000
Sr 0.5000 0.0000 0.5000
Tl 0.0000 0.5000 0.5000

*2*
VASP calculation (PBE-GGA) on crystalline SrTlP2 at its relaxed geometry.

Output
The total magnetization comes out at 0.000 μB per formula unit. The calculation puts the density of states at the Fermi level at 4.55 states/eV/f.u.

a = 4.2279 Å, b = 4.2273 Å, c = 5.9841 Å
α = 90.00°, β = 90.00°, γ = 90.00°
Fractional positions:
P 0.0000 0.0000 0.8760
P 0.5000 0.5000 0.3742
Sr 0.0000 0.0000 0.3760
Tl 0.5000 0.5000 0.8739

Sorted by energy, starting with the most stable: *1*, *2*.

*1*
VASP calculation (PBE-GGA) on crystalline SrTl2P at its relaxed geometry.

Output
The total magnetization comes out at 0.000 μB per formula unit. The calculation puts the density of states at the Fermi level at 2.15 states/eV/f.u.

a = 6.8966 Å, b = 6.8789 Å, c = 4.4166 Å
α = 71.52°, β = 71.08°, γ = 37.40°
Fractional positions:
Sr 0.5000 0.5000 0.5000
Tl 0.0000 0.5000 0.0000
Tl 0.5000 0.0000 0.5000
P 0.0000 0.0000 0.0000

*2*
VASP calculation (PBE-GGA) on crystalline SrTl2P at its relaxed geometry.

Output
The total magnetization comes out at 0.000 μB per formula unit. The calculation puts the density of states at the Fermi level at 2.42 states/eV/f.u.

a = 5.8362 Å, b = 5.8362 Å, c = 5.8362 Å
α = 130.92°, β = 130.92°, γ = 71.94°
Fractional positions:
Sr 0.7500 0.2500 0.5000
Tl 0.0000 0.0000 0.0000
Tl 0.2500 0.7500 0.5000
P 0.5000 0.5000 0.0000

Sorted by energy, starting with the most stable: *1*, *2*.

*1*
VASP calculation (PBE-GGA) on crystalline SrTl2P at its relaxed geometry.

Output
The total magnetization comes out at 0.000 μB per formula unit. The calculation puts the density of states at the Fermi level at 2.21 states/eV/f.u.

a = 4.5377 Å, b = 4.5377 Å, c = 5.4451 Å
α = 90.00°, β = 90.00°, γ = 90.00°
Fractional positions:
Sr 0.0000 0.0000 0.5000
Tl 0.0000 0.5000 0.0000
Tl 0.5000 0.0000 0.0000
P 0.5000 0.5000 0.5000

*2*
VASP calculation (PBE-GGA) on crystalline SrTl2P at its relaxed geometry.

Output
The total magnetization comes out at 0.000 μB per formula unit. The calculation puts the density of states at the Fermi level at 2.90 states/eV/f.u.

a = 8.6756 Å, b = 8.6756 Å, c = 8.6756 Å
α = 28.12°, β = 28.12°, γ = 28.12°
Fractional positions:
Sr 0.2273 0.2273 0.2273
Tl 0.0072 0.0072 0.0072
Tl 0.7695 0.7695 0.7695
P 0.4960 0.4960 0.4960

*3*
VASP calculation (PBE-GGA) on crystalline SrTl2P at its relaxed geometry.

Output
The total magnetization comes out at 0.000 μB per formula unit. The calculation puts the density of states at the Fermi level at 2.32 states/eV/f.u.

a = 5.7632 Å, b = 5.7632 Å, c = 6.0084 Å
α = 65.82°, β = 65.82°, γ = 41.31°
Fractional positions:
Sr 0.1954 0.1954 0.3692
Tl 0.0155 0.0155 0.0070
Tl 0.8059 0.8059 0.7602
P 0.4832 0.4832 0.3636

*4*
VASP calculation (PBE-GGA) on crystalline SrTl2P at its relaxed geometry.

Output
The total magnetization comes out at 0.000 μB per formula unit. The calculation puts the density of states at the Fermi level at 3.00 states/eV/f.u.

a = 6.2811 Å, b = 6.2811 Å, c = 6.2811 Å
α = 46.21°, β = 46.21°, γ = 46.21°
Fractional positions:
Sr 0.0000 0.0000 0.0000
Tl 0.7746 0.7746 0.7746
Tl 0.2254 0.2254 0.2254
P 0.5000 0.5000 0.5000

Sorted by energy, starting with the most stable: *3*, *1*, *2*, *4*.

*1*
VASP calculation (PBE-GGA) on crystalline SrTl2P2 at its relaxed geometry.

Output
The total magnetization comes out at 0.000 μB per formula unit. The calculation puts the density of states at the Fermi level at 2.34 states/eV/f.u.

a = 4.4143 Å, b = 4.4143 Å, c = 7.6938 Å
α = 73.33°, β = 73.33°, γ = 90.00°
Fractional positions:
Sr 0.0000 0.0000 0.0000
Tl 0.7500 0.2500 0.5000
Tl 0.2500 0.7500 0.5000
P 0.4237 0.4237 0.1527
P 0.5763 0.5763 0.8473

*2*
VASP calculation (PBE-GGA) on crystalline SrTl2P2 at its relaxed geometry.

Output
The total magnetization comes out at 0.000 μB per formula unit. The calculation puts the density of states at the Fermi level at 1.17 states/eV/f.u.

a = 7.5845 Å, b = 7.5845 Å, c = 4.8499 Å
α = 90.00°, β = 90.00°, γ = 90.00°
Fractional positions:
Sr 0.0000 0.0000 0.0000
Sr 0.5000 0.5000 0.0000
Tl 0.1661 0.6661 0.5000
Tl 0.6661 0.8339 0.5000
Tl 0.8339 0.3339 0.5000
Tl 0.3339 0.1661 0.5000
P 0.3987 0.8987 0.0000
P 0.8987 0.6013 0.0000
P 0.6013 0.1013 0.0000
P 0.1013 0.3987 0.0000

Sorted by energy, starting with the most stable: *1*, *2*.